w.
VASP calculation (PBE) on crystalline La2CdF at its relaxed geometry.

Unit cell a=5.345 b=5.345 c=5.345 alpha=60.00 beta=60.00 gamma=60.00
Positions (direct):
1 La 0.250 0.250 0.250
2 La 0.750 0.750 0.750
3 F 0.000 0.000 0.000
4 Cd 0.500 0.500 0.500

Its space group is Fm-3m. For the total magnetization, the calculation gives 0.000 μB/atom.

x.
VASP calculation (PBE) on crystalline La2CdF at its relaxed geometry.

Unit cell a=3.986 b=3.986 c=8.013 alpha=75.60 beta=75.60 gamma=60.00
Positions (direct):
1 La 0.272 0.272 0.185
2 La 0.728 0.728 0.815
3 Cd 0.500 0.500 0.500
4 F 0.000 0.000 0.000

Its space group is R-3m. For the total magnetization, the calculation gives 0.000 μB/atom.

Short version: w is the least stable of them.

w.
VASP calculation (PBE) on crystalline LiCd2F5 at its relaxed geometry.

Unit cell a=3.631 b=10.551 c=11.898 alpha=90.00 beta=90.00 gamma=90.00
Positions (direct):
1 Cd 0.250 0.114 0.784
2 Cd 0.750 0.352 0.954
3 Cd 0.250 0.648 0.046
4 Cd 0.750 0.886 0.216
5 Cd 0.250 0.614 0.716
6 Cd 0.750 0.386 0.284
7 Cd 0.250 0.148 0.454
8 Cd 0.750 0.852 0.546
9 F 0.250 0.481 0.906
10 F 0.250 0.505 0.320
11 F 0.750 0.759 0.374
12 F 0.750 0.754 0.713
13 F 0.750 0.259 0.126
14 F 0.750 0.790 0.037
15 F 0.250 0.746 0.213
16 F 0.750 0.995 0.820
17 F 0.250 0.005 0.180
18 F 0.750 0.019 0.406
19 F 0.250 0.981 0.594
20 F 0.250 0.741 0.874
21 F 0.250 0.246 0.287
22 F 0.250 0.210 0.963
23 F 0.250 0.710 0.537
24 F 0.250 0.241 0.626
25 F 0.750 0.519 0.094
26 F 0.750 0.290 0.463
27 F 0.750 0.254 0.787
28 F 0.750 0.495 0.680
29 Li 0.250 0.676 0.369
30 Li 0.750 0.824 0.869
31 Li 0.250 0.176 0.131
32 Li 0.750 0.324 0.631

Its space group is Pnma. For the total magnetization, the calculation gives 0.000 μB/atom.

x.
VASP calculation (PBE) on crystalline LiCd2F5 at its relaxed geometry.

Unit cell a=4.333 b=5.938 c=10.703 alpha=90.00 beta=90.00 gamma=111.40
Positions (direct):
1 Cd 0.141 0.281 0.929
2 Cd 0.859 0.719 0.071
3 Cd 0.141 0.281 0.571
4 Cd 0.859 0.719 0.429
5 F 0.946 0.892 0.619
6 F 0.699 0.399 0.579
7 F 0.054 0.108 0.119
8 F 0.054 0.108 0.381
9 F 0.301 0.601 0.421
10 F 0.301 0.601 0.079
11 F 0.946 0.892 0.881
12 F 0.247 0.493 0.750
13 F 0.699 0.399 0.921
14 F 0.753 0.507 0.250
15 Li 0.824 0.648 0.750
16 Li 0.176 0.352 0.250

Its space group is Cmcm. For the total magnetization, the calculation gives 0.000 μB/atom.

Short version: x is the least stable of them.

w.
VASP calculation (PBE) on crystalline LiCd2F6 at its relaxed geometry.

Unit cell a=5.008 b=9.251 c=9.251 alpha=120.00 beta=90.00 gamma=90.00
Last column: magnetic moment on the atom in μB.
Positions (direct):
1 Cd 0.000 0.639 0.639  0.08
2 Cd 0.500 0.697 0.000  0.12
3 Cd 0.500 0.000 0.697  0.12
4 Cd 0.000 0.361 0.000  0.08
5 Cd 0.500 0.303 0.303  0.12
6 Cd 0.000 0.000 0.361  0.08
7 F 0.737 0.880 0.462  0.13
8 F 0.281 0.452 0.216  0.14
9 F 0.223 0.093 0.213  0.13
10 F 0.223 0.120 0.907  0.13
11 F 0.777 0.213 0.093  0.13
12 F 0.737 0.583 0.120  0.13
13 F 0.737 0.538 0.417  0.13
14 F 0.281 0.784 0.236  0.14
15 F 0.263 0.462 0.880  0.13
16 F 0.281 0.764 0.548  0.14
17 F 0.223 0.787 0.880  0.13
18 F 0.777 0.880 0.787  0.13
19 F 0.263 0.120 0.583  0.13
20 F 0.263 0.417 0.538  0.13
21 F 0.719 0.548 0.764  0.14
22 F 0.719 0.236 0.784  0.14
23 F 0.777 0.907 0.120  0.13
24 F 0.719 0.216 0.452  0.14
25 Li 0.509 0.667 0.333  0.00
26 Li 0.491 0.333 0.667  0.00
27 Li 0.000 0.000 0.000  0.00

Its space group is P321. For the total magnetization, the calculation gives 0.119 μB/atom.

x.
VASP calculation (PBE) on crystalline LiCd2F6 at its relaxed geometry.

Unit cell a=5.396 b=5.599 c=8.102 alpha=90.00 beta=95.97 gamma=90.00
Last column: magnetic moment on the atom in μB.
Positions (direct):
1 Li 0.000 0.000 0.500  0.00
2 Li 0.500 0.500 0.000  0.00
3 Cd 0.968 0.401 0.787  0.08
4 Cd 0.468 0.099 0.287  0.08
5 Cd 0.532 0.901 0.713  0.08
6 Cd 0.032 0.599 0.213  0.08
7 F 0.169 0.087 0.717  0.14
8 F 0.831 0.913 0.283  0.14
9 F 0.701 0.172 0.554  0.13
10 F 0.201 0.328 0.054  0.13
11 F 0.669 0.413 0.217  0.14
12 F 0.299 0.828 0.446  0.13
13 F 0.829 0.696 0.609  0.15
14 F 0.171 0.304 0.391  0.15
15 F 0.329 0.804 0.109  0.15
16 F 0.671 0.196 0.891  0.15
17 F 0.799 0.672 0.946  0.13
18 F 0.331 0.587 0.783  0.14

Its space group is P2_1/c. For the total magnetization, the calculation gives 0.121 μB/atom.

Short version: x is the least stable of them.

w.
VASP calculation (PBE) on crystalline LiCdF at its relaxed geometry.

Unit cell a=3.093 b=3.093 c=6.862 alpha=90.00 beta=90.00 gamma=120.00
Positions (direct):
1 F 0.333 0.667 0.500
2 Cd 0.000 0.000 0.000
3 Li 0.667 0.333 0.500

Its space group is P-6m2. For the total magnetization, the calculation gives 0.000 μB/atom.

x.
VASP calculation (PBE) on crystalline LiCdF at its relaxed geometry.

Unit cell a=3.052 b=3.052 c=11.942 alpha=82.86 beta=89.90 gamma=60.00
Positions (direct):
1 F 0.724 0.094 0.137
2 F 0.125 0.290 0.350
3 Cd 0.194 0.146 0.579
4 Cd 0.939 0.654 0.828
5 Li 0.378 0.787 0.096
6 Li 0.779 0.982 0.309

Its space group is P1. For the total magnetization, the calculation gives 0.000 μB/atom.

Short version: w is the least stable of them.

w.
VASP calculation (PBE) on crystalline LiCdF3 at its relaxed geometry.

Unit cell a=4.412 b=4.412 c=4.412 alpha=90.00 beta=90.00 gamma=90.00
Positions (direct):
1 F 0.000 0.000 0.500
2 F 0.000 0.500 0.000
3 F 0.500 0.000 0.000
4 Cd 0.000 0.000 0.000
5 Li 0.500 0.500 0.500

Its space group is Pm-3m. For the total magnetization, the calculation gives 0.000 μB/atom.

x.
VASP calculation (PBE) on crystalline LiCdF3 at its relaxed geometry.

Unit cell a=3.750 b=3.750 c=3.750 alpha=90.00 beta=90.00 gamma=90.00
Positions (direct):
1 Li 0.000 0.000 0.000
2 F 0.000 0.500 0.000
3 F 0.000 0.000 0.500
4 F 0.500 0.000 0.000
5 Cd 0.500 0.500 0.500

Its space group is Pm-3m. For the total magnetization, the calculation gives 0.000 μB/atom.

Short version: w is the least stable of them.

w.
VASP calculation (PBE) on crystalline LiCdF3 at its relaxed geometry.

Unit cell a=3.784 b=5.742 c=6.247 alpha=77.95 beta=90.00 gamma=90.00
Positions (direct):
1 F 0.750 0.047 0.346
2 F 0.250 0.636 0.356
3 F 0.750 0.693 0.916
4 F 0.250 0.953 0.654
5 F 0.750 0.364 0.644
6 F 0.250 0.307 0.084
7 Li 0.750 0.016 0.679
8 Li 0.250 0.984 0.321
9 Cd 0.250 0.552 0.749
10 Cd 0.750 0.448 0.251

Its space group is P2_1/m. For the total magnetization, the calculation gives 0.002 μB/atom.

x.
VASP calculation (PBE) on crystalline LiCdF3 at its relaxed geometry.

Unit cell a=5.522 b=5.522 c=5.808 alpha=61.62 beta=61.62 gamma=60.00
Positions (direct):
1 F 0.558 0.957 0.261
2 F 0.224 0.558 0.261
3 F 0.957 0.224 0.261
4 F 0.776 0.442 0.739
5 F 0.442 0.043 0.739
6 F 0.043 0.776 0.739
7 Cd 0.360 0.360 0.921
8 Cd 0.640 0.640 0.079
9 Li 0.852 0.852 0.443
10 Li 0.148 0.148 0.557

Its space group is R-3. For the total magnetization, the calculation gives 0.000 μB/atom.

Short version: x is the least stable of them.